A plane-wave DFT calculation with GGA-PBE was carried out for a relaxed LaMgAu3 crystal.

a = 4.979 Å, b = 4.979 Å, c = 4.979 Å
α = 90.00°, β = 90.00°, γ = 90.00°
Space group Pm-3m (No. 221)
One atom of each set of equivalent atoms:
La 0.000 0.000 0.000 [1 per cell]
Mg 0.500 0.500 0.500 [1 per cell]
Au 0.000 0.500 0.500 [3 per cell]

Total energy in eV per atom: -3.618
M_tot in Bohr magnetons per cell: 0.00
Volume in Å³/cell: 123.5
Relative energy among the computed polymorphs in kJ per mole of atoms: 32.5
Energy of formation in meV per atom: -347